Entry 1:
The following is a DFT calculation (GGA-PBE) of an optimized crystal structure of DyHoMg2Ge2.

Cell and atoms, written as POSCAR:
```
DyHoMg2Ge2
1.0
-2.052 4.710 6.365
-6.849 2.679 3.582
4.438 -6.070 -3.219
Ge Dy Ho Mg
2 1 1 2
direct
0.136 0.136 0.000
0.864 0.864 0.000
0.330 0.330 0.000
0.670 0.670 0.000
0.500 0.000 0.500
0.000 0.500 0.500
```

## Properties
Crystal system: tetragonal
ρ (Mg/m³): 6.506


Entry 2:
The following is a DFT calculation (GGA-PBE) of an optimized crystal structure of DyHoGe4Os2.

Cell and atoms, written as POSCAR:
```
DyHoGe4Os2
1.0
-3.590 -0.005 2.609
-2.532 -1.054 -3.486
2.807 -7.802 0.322
Dy Os Ho Ge
1 2 1 4
direct
0.615 0.000 0.710
0.107 0.500 0.882
0.894 0.000 0.119
0.383 0.500 0.289
0.960 0.000 0.415
0.039 0.500 0.585
0.678 0.500 0.007
0.323 0.000 0.993
```

## Properties
Crystal system: monoclinic
ρ (Mg/m³): 10.481


Total moment for every record listed, in sequence, given in μB/cell: 0.02 0.01.
Total energy for every record listed, in sequence, given in eV per atom: -4.2431 -6.7116.